Compound: K2MoRuO6
Source: Alexandria via LeMat-Bulk
Functional: PBE+U
Structure: optimized geometry

Cell and atoms, written as extended XYZ:
```
10
Lattice="3.943 0.000 0.000 0.000 5.610 0.000 0.000 0.000 5.610" Properties=species:S:1:pos:R:3 pbc="T T T"
O 2.542 4.237 1.373
O 2.542 1.373 4.237
O 2.542 1.373 1.373
K 0.570 2.805 0.000
K 0.570 0.000 2.805
Mo 2.542 0.000 0.000
O 2.542 4.237 4.237
Ru 2.542 2.805 2.805
O 0.571 0.000 0.000
O 0.571 2.805 2.805
```

The value obtained for the total magnetic moment is 0.073 μB/atom. The calculated volume comes out at 12.4 A^3/atom. The calculation puts the density of states at the Fermi level at 4.3 states/eV/cell. The calculation puts the uncorrected energy at -6.318 eV/atom.